Density functional theory data (PBE) for crystalline PmFe at its relaxed geometry.

Summary:
- ΔH_f (0 K): 23 meV/atom
- Space-group type: R-3m (166)

a b c (Å): 3.960 3.960 7.433
angles (deg): 74.55 74.55 60.00
Site moments in Bohr magnetons follow the coordinates.
Positions (direct):
Fe (0.332, 0.332, 0.003)  1.30
Pm (0.089, 0.089, 0.732)  -0.03
Pm (0.911, 0.911, 0.268)  -0.03
Fe (0.668, 0.668, 0.997)  1.30